[1]
# YSc2Cl

A relaxed structure of YSc2Cl (PBE-GGA, Alexandria via LeMat-Bulk).

Computed properties:
Its uncorrected formation energy is -303 meV per atom. The calculation puts the total energy at -5.5463 eV per atom. The total magnetization comes out at 0.0 μB/f.u. The density is 3.60 g cm⁻³.

Structure (CIF):
```
data_YSc2Cl
_chemical_formula_sum 'Y1 Sc2 Cl1'
_space_group_name_H-M_alt 'P 1 2/m 1'
_space_group_IT_number 10
_cell_length_a 3.664
_cell_length_b 4.884
_cell_length_c 5.823
_cell_angle_alpha 90.00
_cell_angle_beta 108.30
_cell_angle_gamma 90.00
loop_
_space_group_symop_operation_xyz
'x,y,z'
'-x,-y,-z'
'-x,y,-z'
'x,-y,z'
loop_
_atom_site_label
_atom_site_fract_x
_atom_site_fract_y
_atom_site_fract_z
_atom_site_occupancy
Y1 0.000 0.000 0.000 1
Sc1 0.342 0.500 0.732 1
Cl1 0.000 0.000 0.500 1
```


[2]
# Y2ScCl

A relaxed structure of Y2ScCl (PBE-GGA, Alexandria via LeMat-Bulk).

Computed properties:
Its uncorrected formation energy is -358 meV per atom. The calculation puts the total energy at -5.6346 eV per atom. The total magnetization comes out at 0.0 μB/f.u. The density is 3.90 g cm⁻³.

Structure (CIF):
```
data_Y2ScCl
_chemical_formula_sum 'Y4 Sc2 Cl2'
_space_group_name_H-M_alt 'C 1 2/m 1'
_space_group_IT_number 12
_cell_length_a 12.281
_cell_length_b 3.409
_cell_length_c 6.009
_cell_angle_alpha 90.00
_cell_angle_beta 119.17
_cell_angle_gamma 90.00
loop_
_space_group_symop_operation_xyz
'x,y,z'
'-x,-y,-z'
'-x,y,-z'
'x,-y,z'
'x+1/2,y+1/2,z'
'-x+1/2,-y+1/2,-z'
'-x+1/2,y+1/2,-z'
'x+1/2,-y+1/2,z'
loop_
_atom_site_label
_atom_site_fract_x
_atom_site_fract_y
_atom_site_fract_z
_atom_site_occupancy
Y1 0.214 0.000 0.214 1
Sc1 0.000 0.000 0.500 1
Cl1 0.000 0.500 0.000 1
```


[3]
# YScCl2

A relaxed structure of YScCl2 (PBE-GGA, Alexandria via LeMat-Bulk).

Computed properties:
Its uncorrected formation energy is -1362 meV per atom. The calculation puts the total energy at -5.4837 eV per atom. The total magnetization comes out at 0.0 μB/f.u. The density is 3.32 g cm⁻³.

Structure (CIF):
```
data_YScCl2
_chemical_formula_sum 'Y1 Sc1 Cl2'
_space_group_name_H-M_alt 'P 4 m m'
_space_group_IT_number 99
_cell_length_a 3.509
_cell_length_b 3.509
_cell_length_c 8.311
_cell_angle_alpha 90.00
_cell_angle_beta 90.00
_cell_angle_gamma 90.00
loop_
_space_group_symop_operation_xyz
'x,y,z'
'-y,x,z'
'-x,-y,z'
'y,-x,z'
'-x,y,z'
'y,x,z'
'x,-y,z'
'-y,-x,z'
loop_
_atom_site_label
_atom_site_fract_x
_atom_site_fract_y
_atom_site_fract_z
_atom_site_occupancy
Y1 0.000 0.000 0.000 1
Sc1 0.500 0.500 0.719 1
Cl1 0.000 0.000 0.581 1
Cl2 0.500 0.500 0.186 1
```